# Ba5B3BrO9

Crystalline Ba5B3BrO9 at its relaxed geometry (PBE, Alexandria via LeMat-Bulk).

Geometry as POSCAR:
```
Ba5B3BrO9
1.0
5.321 -7.563 0.000
5.321 7.563 0.000
0.000 0.000 8.131
Ba B Br O
10 6 2 18
Direct
0.139 0.861 0.250 Ba
0.139 0.861 0.750 Ba
0.229 0.493 0.567 Ba
0.259 0.259 0.000 Ba
0.493 0.229 0.433 Ba
0.507 0.771 0.933 Ba
0.741 0.741 0.500 Ba
0.771 0.507 0.067 Ba
0.861 0.139 0.250 Ba
0.861 0.139 0.750 Ba
0.098 0.516 0.970 B
0.124 0.124 0.500 B
0.484 0.902 0.530 B
0.516 0.098 0.030 B
0.876 0.876 0.000 B
0.902 0.484 0.470 B
0.445 0.555 0.250 Br
0.555 0.445 0.750 Br
0.007 0.630 0.511 O
0.009 0.009 0.000 O
0.068 0.649 0.013 O
0.184 0.187 0.651 O
0.187 0.184 0.349 O
0.230 0.527 0.882 O
0.351 0.932 0.487 O
0.370 0.993 0.989 O
0.473 0.770 0.618 O
0.527 0.230 0.118 O
0.630 0.007 0.489 O
0.649 0.068 0.987 O
0.770 0.473 0.382 O
0.813 0.816 0.849 O
0.816 0.813 0.151 O
0.932 0.351 0.513 O
0.991 0.991 0.500 O
0.993 0.370 0.011 O
```

Values from the calculation:
Magnetization: 0.000 μB per atom
Space group: C222_1 (20)
Total energy: -6.963 eV/atom
Formation energy from raw total energies: -2.7442 eV/atom
Fermi-level density of states: 0.00 states/eV/cell